No. 1
An optimized crystal structure of LaY2Ti2, computed with PBE. Values from VASP.

Cell and atoms, written as Quantum ESPRESSO input:
```
&SYSTEM
  ibrav = 0, nat = 10, ntyp = 3
/
ATOMIC_SPECIES
La 138.91 La.upf
Y 88.91 Y.upf
Ti 47.87 Ti.upf
ATOMIC_POSITIONS crystal
La 0.000 0.000 0.000
La 0.500 0.500 0.000
Y 0.181 0.319 0.500
Y 0.319 0.819 0.500
Y 0.681 0.181 0.500
Y 0.819 0.681 0.500
Ti 0.106 0.606 0.000
Ti 0.394 0.106 0.000
Ti 0.606 0.894 0.000
Ti 0.894 0.394 0.000
CELL_PARAMETERS angstrom
8.872 0.000 0.000
0.000 8.872 0.000
0.000 0.000 3.466
```

Computed properties:
space-group type	P4/mbm (127)
calculated formation energy	0.253	eV/atom

No. 2
An optimized crystal structure of Al3TcB, computed with PBE. Values from VASP.

Cell and atoms, written as Quantum ESPRESSO input:
```
&SYSTEM
  ibrav = 0, nat = 5, ntyp = 3
/
ATOMIC_SPECIES
Al 26.98 Al.upf
Tc 98.00 Tc.upf
B 10.81 B.upf
ATOMIC_POSITIONS crystal
Al 0.000 0.000 0.500
Al 0.000 0.500 0.000
Al 0.500 0.000 0.000
Tc 0.000 0.000 0.000
B 0.500 0.500 0.500
CELL_PARAMETERS angstrom
4.722 0.000 0.000
0.000 4.722 0.000
0.000 0.000 4.722
```

Computed properties:
space-group type	Pm-3m (221)
E above lowest polymorph	2.982	eV per formula unit
calculated formation energy	1.058	eV/atom

No. 3
An optimized crystal structure of Mg3NbO, computed with PBE. Values from VASP.

Cell and atoms, written as Quantum ESPRESSO input:
```
&SYSTEM
  ibrav = 0, nat = 5, ntyp = 3
/
ATOMIC_SPECIES
Mg 24.30 Mg.upf
Nb 92.91 Nb.upf
O 16.00 O.upf
ATOMIC_POSITIONS crystal
Mg 0.000 0.000 0.500
Mg 0.000 0.500 0.000
Mg 0.500 0.000 0.000
Nb 0.500 0.500 0.500
O 0.000 0.000 0.000
CELL_PARAMETERS angstrom
4.374 0.000 0.000
0.000 4.374 0.000
0.000 0.000 4.374
```

Computed properties:
space-group type	Pm-3m (221)
E above lowest polymorph	0.000	eV per formula unit
raw formation energy	-436	meV per atom

No. 4
An optimized crystal structure of Sr3CeDy3Se8, computed with PBE. Values from VASP.

Cell and atoms, written as Quantum ESPRESSO input:
```
&SYSTEM
  ibrav = 0, nat = 15, ntyp = 4
/
ATOMIC_SPECIES
Sr 87.62 Sr.upf
Ce 140.12 Ce.upf
Dy 162.50 Dy.upf
Se 78.96 Se.upf
ATOMIC_POSITIONS crystal
Sr 0.000 0.500 0.500
Sr 0.500 0.000 0.500
Sr 0.500 0.500 0.000
Ce 0.500 0.500 0.500
Dy 0.000 0.000 0.500
Dy 0.000 0.500 0.000
Dy 0.500 0.000 0.000
Se 0.234 0.749 0.749
Se 0.243 0.243 0.243
Se 0.251 0.251 0.766
Se 0.251 0.766 0.251
Se 0.749 0.234 0.749
Se 0.749 0.749 0.234
Se 0.757 0.757 0.757
Se 0.766 0.251 0.251
CELL_PARAMETERS angstrom
4.184 2.416 7.132
-4.184 2.416 7.132
0.000 -4.831 7.132
```

Computed properties:
space-group type	R-3m (166)
raw formation energy	-1900	meV per atom

No. 5
An optimized crystal structure of K2Nd2PuO6, computed with PBE. Values from VASP.

Cell and atoms, written as Quantum ESPRESSO input:
```
&SYSTEM
  ibrav = 0, nat = 11, ntyp = 4
/
ATOMIC_SPECIES
K 39.10 K.upf
Nd 144.24 Nd.upf
Pu 244.00 Pu.upf
O 16.00 O.upf
ATOMIC_POSITIONS crystal
K 0.165 0.835 0.000
K 0.835 0.165 0.000
Nd 0.334 0.666 0.500
Nd 0.666 0.334 0.500
Pu 0.000 0.000 0.500
O 0.047 0.372 0.676
O 0.248 0.248 0.324
O 0.372 0.047 0.676
O 0.628 0.953 0.324
O 0.752 0.752 0.676
O 0.953 0.628 0.324
CELL_PARAMETERS angstrom
3.117 -5.373 0.000
3.117 5.373 0.000
-1.962 0.000 6.394
```

Computed properties:
space-group type	C2/m (12)
raw formation energy	-2712	meV per atom

No. 6
An optimized crystal structure of LaDy5Er7, computed with PBE. Values from VASP.

Cell and atoms, written as Quantum ESPRESSO input:
```
&SYSTEM
  ibrav = 0, nat = 13, ntyp = 3
/
ATOMIC_SPECIES
La 138.91 La.upf
Dy 162.50 Dy.upf
Er 167.26 Er.upf
ATOMIC_POSITIONS crystal
La 0.000 0.000 0.000
Dy 0.028 0.032 0.466
Dy 0.028 0.562 0.996
Dy 0.302 0.802 0.500
Dy 0.566 0.032 0.004
Dy 0.566 0.562 0.534
Er 0.217 0.549 0.669
Er 0.301 0.301 0.000
Er 0.381 0.049 0.332
Er 0.607 0.607 0.000
Er 0.717 0.049 0.668
Er 0.794 0.294 0.500
Er 0.880 0.549 0.331
CELL_PARAMETERS angstrom
-3.326 5.541 5.767
3.326 -5.541 5.767
3.326 5.541 -5.767
```

Computed properties:
space-group type	Imm2 (44)
calculated formation energy	0.249	eV/atom

No. 7
An optimized crystal structure of Pm2Si3NiPt12, computed with PBE. Values from VASP.

Cell and atoms, written as Quantum ESPRESSO input:
```
&SYSTEM
  ibrav = 0, nat = 18, ntyp = 4
/
ATOMIC_SPECIES
Pm 145.00 Pm.upf
Si 28.09 Si.upf
Ni 58.69 Ni.upf
Pt 195.08 Pt.upf
ATOMIC_POSITIONS crystal
Pm 0.120 0.120 0.120
Pm 0.880 0.880 0.880
Si 0.000 0.500 0.500
Si 0.500 0.000 0.500
Si 0.500 0.500 0.000
Ni 0.500 0.500 0.500
Pt 0.132 0.623 0.623
Pt 0.142 0.142 0.607
Pt 0.142 0.607 0.142
Pt 0.377 0.377 0.868
Pt 0.377 0.868 0.377
Pt 0.393 0.858 0.858
Pt 0.607 0.142 0.142
Pt 0.623 0.132 0.623
Pt 0.623 0.623 0.132
Pt 0.858 0.393 0.858
Pt 0.858 0.858 0.393
Pt 0.868 0.377 0.377
CELL_PARAMETERS angstrom
4.079 2.355 6.123
-4.079 2.355 6.123
0.000 -4.710 6.123
```

Computed properties:
space-group type	R-3m (166)
raw formation energy	-456	meV per atom

No. 8
An optimized crystal structure of MnAs2P, computed with PBE. Values from VASP.

Cell and atoms, written as Quantum ESPRESSO input:
```
&SYSTEM
  ibrav = 0, nat = 4, ntyp = 3
/
ATOMIC_SPECIES
Mn 54.94 Mn.upf
As 74.92 As.upf
P 30.97 P.upf
ATOMIC_POSITIONS crystal
Mn 0.000 0.000 0.000
As 0.250 0.750 0.500
As 0.750 0.250 0.500
P 0.500 0.500 0.000
CELL_PARAMETERS angstrom
-1.873 1.873 4.984
1.873 -1.873 4.984
1.873 1.873 -4.984
```

Computed properties:
space-group type	I4/mmm (139)
calculated formation energy	0.379	eV/atom